(1)
Density functional theory data (PBE-GGA) for a relaxed Pm5NdEr2 crystal.

Lattice parameters (Å, degrees): 9.7878 9.7878 6.5448 97.70 97.70 61.50
Closest atoms and distances in Å follow each position.
Positions (direct):
Pm 0.0537 0.9463 0.7500  4 Er 3.28-3.49, 2 Pm 3.44
Pm 0.1114 0.2878 0.0166  1 Er 3.46, 2 Nd 3.50-3.54, 6 Pm 3.68-3.81
Pm 0.2878 0.1114 0.5166  1 Er 3.46, 2 Nd 3.50-3.54, 6 Pm 3.68-3.81
Pm 0.3089 0.5001 0.8629  4 Er 3.43-3.64, 1 Nd 3.59, 5 Pm 3.74-3.79
Pm 0.5001 0.3089 0.3629  4 Er 3.43-3.64, 1 Nd 3.59, 5 Pm 3.74-3.79
Pm 0.4999 0.6911 0.6371  4 Er 3.43-3.64, 1 Nd 3.59, 5 Pm 3.74-3.79
Pm 0.6911 0.4999 0.1371  4 Er 3.43-3.64, 1 Nd 3.59, 5 Pm 3.74-3.79
Pm 0.7122 0.8886 0.4834  1 Er 3.46, 2 Nd 3.50-3.54, 6 Pm 3.68-3.81
Pm 0.8886 0.7122 0.9834  1 Er 3.46, 2 Nd 3.50-3.54, 6 Pm 3.68-3.81
Pm 0.9463 0.0537 0.2500  4 Er 3.28-3.49, 2 Pm 3.44
Nd 0.0000 0.5000 0.5000  2 Er 3.14, 2 Pm 3.50
Nd 0.5000 0.0000 0.0000  2 Er 3.14, 2 Pm 3.50
Er 0.1775 0.6683 0.3748  1 Nd 3.14, 1 Er 3.27, 5 Pm 3.28-3.49
Er 0.3317 0.8225 0.1252  1 Nd 3.14, 1 Er 3.27, 5 Pm 3.28-3.49
Er 0.6683 0.1775 0.8748  1 Nd 3.14, 1 Er 3.27, 5 Pm 3.28-3.49
Er 0.8225 0.3317 0.6252  1 Nd 3.14, 1 Er 3.27, 5 Pm 3.28-3.49

Computed properties:
**Fermi-level density of states**: 1.639 states/eV per atom
**Mass density**: 7.3 g/cm³
**Total magnetic moment**: 0.00 μB per formula unit
**VASP energy**: -4.55 eV per atom
**Energy above the most stable polymorph in this dataset**: 0.141 eV/atom

=====

(2)
Density functional theory data (PBE-GGA) for a relaxed Pm6Nd2Er crystal.

Lattice parameters (Å, degrees): 10.2176 10.2176 6.2376 95.16 95.16 70.80
Closest atoms and distances in Å follow each position.
Positions (direct):
Pm 0.0930 0.8112 0.9868  4 Pm 3.34-3.69, 3 Nd 3.49-3.61, 1 Er 3.54
Pm 0.1527 0.4266 0.1485  4 Pm 3.44-3.64, 3 Nd 3.46-3.58, 1 Er 3.52
Pm 0.1888 0.9070 0.5132  4 Pm 3.34-3.69, 3 Nd 3.49-3.61, 1 Er 3.54
Pm 0.2449 0.5251 0.6794  4 Pm 3.34-3.64, 2 Er 3.42-3.49, 2 Nd 3.53-3.63
Pm 0.4266 0.1527 0.6485  4 Pm 3.44-3.64, 3 Nd 3.46-3.58, 1 Er 3.52
Pm 0.4749 0.7551 0.8206  4 Pm 3.34-3.64, 2 Er 3.42-3.49, 2 Nd 3.53-3.63
Pm 0.5251 0.2449 0.1794  4 Pm 3.34-3.64, 2 Er 3.42-3.49, 2 Nd 3.53-3.63
Pm 0.5734 0.8473 0.3515  4 Pm 3.44-3.64, 3 Nd 3.46-3.58, 1 Er 3.52
Pm 0.7551 0.4749 0.3206  4 Pm 3.34-3.64, 2 Er 3.42-3.49, 2 Nd 3.53-3.63
Pm 0.8112 0.0930 0.4868  4 Pm 3.34-3.69, 3 Nd 3.49-3.61, 1 Er 3.54
Pm 0.8473 0.5734 0.8515  4 Pm 3.44-3.64, 3 Nd 3.46-3.58, 1 Er 3.52
Pm 0.9070 0.1888 0.0132  4 Pm 3.34-3.69, 3 Nd 3.49-3.61, 1 Er 3.54
Nd 0.0676 0.2686 0.5774  8 Pm 3.46-3.63
Nd 0.2686 0.0676 0.0774  8 Pm 3.46-3.63
Nd 0.7314 0.9324 0.9226  8 Pm 3.46-3.63
Nd 0.9324 0.7314 0.4226  8 Pm 3.46-3.63
Er 0.4011 0.5989 0.2500  8 Pm 3.42-3.54
Er 0.5989 0.4011 0.7500  8 Pm 3.42-3.54

Computed properties:
**Fermi-level density of states**: 1.385 states/eV per atom
**Mass density**: 7.2 g/cm³
**Total magnetic moment**: 0.00 μB per formula unit
**VASP energy**: -4.65 eV per atom
**Energy above the most stable polymorph in this dataset**: 0.028 eV/atom

=====

> What is the Fermi-level density of states in the second record?

1.385 states/eV per atom